Entry 1:
First-principles (PBE) data for crystalline LaHg2Br at its relaxed geometry, as listed in the Alexandria database.

```
LaHg2Br
1.0
3.950 0.000 0.000
0.000 5.358 0.000
-0.005 0.000 5.737
La Hg Br
1 2 1
Direct
0.000 0.000 0.000 La
0.499 0.000 0.515 Hg
0.501 0.500 0.241 Hg
0.999 0.500 0.768 Br
```

SG = Pm, No. 6
DOS at the Fermi energy = 0.62 states/eV/atom
Total magnetization = 0.0 Bohr magnetons per cell
Uncorrected formation energy = -0.6546 eV per atom
Energy above the lowest structure with this stoichiometry = 51 meV/atom



Entry 2:
First-principles (PBE) data for crystalline CrHgRu2 at its relaxed geometry, as listed in the Alexandria database.

```
CrHgRu2
1.0
4.449 0.000 0.000
0.000 4.449 0.000
0.000 0.000 3.158
Cr Hg Ru
1 1 2
Direct
0.000 0.000 0.000 Cr
0.500 0.500 0.000 Hg
0.000 0.500 0.500 Ru
0.500 0.000 0.500 Ru
```

SG = P4/mmm, No. 123
DOS at the Fermi energy = 1.72 states/eV/atom
Formation energy = 596 meV/atom
Total magnetization = 1.3 Bohr magnetons per cell